Run A
La6YTl after structural relaxation. Source: Alexandria via LeMat-Bulk, functional PBE-GGA.

POSCAR file:
```
La6YTl
1.0
4.291 -5.042 0.000
4.291 5.042 0.000
-0.781 0.000 6.402
La Y Tl
6 1 1
Cartesian
2.615 3.032 1.766
1.126 0.000 1.273
5.185 3.032 4.636
2.615 -3.032 1.766
6.674 0.000 5.129
5.185 -3.032 4.636
4.291 0.000 0.000
3.900 0.000 3.201
```

Summary:
calculated density: 6.75 Mg/m³
volume: 34.6 Å³ per atom


Run B
La6YTl after structural relaxation. Source: Alexandria via LeMat-Bulk, functional PBE-GGA.

POSCAR file:
```
La6YTl
1.0
5.126 0.000 0.000
0.000 5.126 0.000
0.000 0.000 10.447
La Y Tl
6 1 1
Cartesian
0.000 0.000 0.000
0.000 0.000 5.224
0.000 2.563 2.559
0.000 2.563 7.888
2.563 0.000 2.559
2.563 0.000 7.888
2.563 2.563 5.224
2.563 2.563 0.000
```

Summary:
calculated density: 6.82 Mg/m³
volume: 34.3 Å³ per atom


What should be chosen as the least stable of them? Choose run A.


Run A
La5YTl4 after structural relaxation. Source: Alexandria via LeMat-Bulk, functional PBE-GGA.

POSCAR file:
```
La5YTl4
1.0
3.742 0.000 0.000
0.000 3.742 0.000
0.000 0.000 23.053
La Y Tl
5 1 4
Cartesian
0.000 0.000 0.000
0.000 0.000 4.480
0.000 0.000 8.926
0.000 0.000 14.127
0.000 0.000 18.572
1.871 1.871 11.526
1.871 1.871 2.247
1.871 1.871 6.722
1.871 1.871 16.331
1.871 1.871 20.806
```

Summary:
calculated density: 8.23 Mg/m³
volume: 32.3 Å³ per atom


Run B
La5YTl4 after structural relaxation. Source: Alexandria via LeMat-Bulk, functional PBE-GGA.

POSCAR file:
```
La5YTl4
1.0
8.596 0.000 0.000
0.000 9.351 0.000
0.000 0.000 8.979
La Y Tl
10 2 8
Cartesian
0.067 0.589 2.093
0.067 4.087 2.093
2.149 7.013 1.532
4.231 0.589 2.093
4.231 4.087 2.093
4.365 5.264 6.886
4.365 8.762 6.886
6.447 2.338 7.447
8.530 5.264 6.886
8.530 8.762 6.886
2.149 2.338 5.259
6.447 7.013 3.720
0.738 2.338 8.339
2.149 5.448 4.461
2.149 8.578 4.461
3.561 2.338 8.339
5.036 7.013 0.640
6.447 0.773 4.518
6.447 3.903 4.518
7.859 7.013 0.640
```

Summary:
calculated density: 7.37 Mg/m³
volume: 36.1 Å³ per atom


What should be chosen as the least stable of them? Choose run B.